No. 1
The following is a GGA-PBE calculation of a geometry-optimized RbPmFeCl6 structure, from the Alexandria database. Values from VASP.

- symmetry = C2, No. 5
- D(E_F) (states/eV per atom) = 0.797
- uncorrected formation energy (eV per atom) = -1.68
- total moment (μB/f.u.) = 4.000
- crystal system = monoclinic

Cell and atoms, written as Quantum ESPRESSO input:
```
&SYSTEM
  ibrav = 0, nat = 9, ntyp = 4
/
ATOMIC_SPECIES
Rb 85.47 Rb.upf
Pm 145.00 Pm.upf
Fe 55.84 Fe.upf
Cl 35.45 Cl.upf
CELL_PARAMETERS angstrom
3.4200 -5.9255 0.0000
3.4200 5.9255 0.0000
-0.0155 0.0000 7.3138
ATOMIC_POSITIONS crystal
Rb 0.0000 0.0000 0.0000
Pm 0.6662 0.3338 0.5000
Fe 0.3332 0.6668 0.5000
Cl 0.0251 0.3849 0.7019
Cl 0.0247 0.6385 0.2967
Cl 0.3615 0.9753 0.7033
Cl 0.3636 0.3883 0.2949
Cl 0.6117 0.6364 0.7051
Cl 0.6151 0.9749 0.2981
```

No. 2
The following is a GGA-PBE calculation of a geometry-optimized AcPrNd2Ho5 structure, from the Alexandria database. Values from VASP.

- symmetry = I4/mcm, No. 140
- ΔH_f (0 K) (eV per atom) = 0.24
- D(E_F) (states/eV per atom) = 1.062
- total moment (μB/f.u.) = 0.000
- crystal system = tetragonal

Cell and atoms, written as Quantum ESPRESSO input:
```
&SYSTEM
  ibrav = 0, nat = 18, ntyp = 4
/
ATOMIC_SPECIES
Ac 227.00 Ac.upf
Pr 140.91 Pr.upf
Nd 144.24 Nd.upf
Ho 164.93 Ho.upf
CELL_PARAMETERS angstrom
-4.4104 4.4104 7.9089
4.4104 -4.4104 7.9089
4.4104 4.4104 -7.9089
ATOMIC_POSITIONS crystal
Ac 0.2500 0.2500 0.0000
Ac 0.7500 0.7500 0.0000
Pr 0.2500 0.7500 0.5000
Pr 0.7500 0.2500 0.5000
Nd 0.1176 0.6176 0.7353
Nd 0.3824 0.1176 0.5000
Nd 0.6176 0.8824 0.5000
Nd 0.8824 0.3824 0.2647
Ho 0.0000 0.0000 0.0000
Ho 0.0739 0.1616 0.5000
Ho 0.1616 0.6616 0.0877
Ho 0.3384 0.4261 0.5000
Ho 0.4261 0.9261 0.0877
Ho 0.5000 0.5000 0.0000
Ho 0.5739 0.0739 0.9123
Ho 0.6616 0.5739 0.5000
Ho 0.8384 0.3384 0.9123
Ho 0.9261 0.8384 0.5000
```

No. 3
The following is a GGA-PBE calculation of a geometry-optimized Er5Te5Pt structure, from the Alexandria database. Values from VASP.

- symmetry = C2/m, No. 12
- D(E_F) (states/eV per atom) = 0.839
- uncorrected formation energy (eV per atom) = -1.28
- total moment (μB/f.u.) = 0.005
- crystal system = monoclinic

Cell and atoms, written as Quantum ESPRESSO input:
```
&SYSTEM
  ibrav = 0, nat = 11, ntyp = 3
/
ATOMIC_SPECIES
Er 167.26 Er.upf
Te 127.60 Te.upf
Pt 195.08 Pt.upf
CELL_PARAMETERS angstrom
6.8577 -3.0442 0.0000
6.8577 3.0442 0.0000
-2.7637 0.0000 8.0534
ATOMIC_POSITIONS crystal
Er 0.0000 0.0000 0.0000
Er 0.3492 0.3492 0.1535
Er 0.3488 0.3488 0.6889
Er 0.6512 0.6512 0.3111
Er 0.6508 0.6508 0.8465
Te 0.1665 0.1665 0.8262
Te 0.1826 0.1826 0.3341
Te 0.5000 0.5000 0.5000
Te 0.8174 0.8174 0.6659
Te 0.8335 0.8335 0.1738
Pt 0.5000 0.5000 0.0000
```

No. 4
The following is a GGA-PBE calculation of a geometry-optimized CrMo2Ir structure, from the Alexandria database. Values from VASP.

- symmetry = Pm, No. 6
- ΔH_f (0 K) (eV per atom) = 0.02
- D(E_F) (states/eV per atom) = 0.981
- distance to the lowest polymorph of the same formula (kJ/mol of formula units) = 2
- total moment (μB/f.u.) = 0.000
- crystal system = monoclinic

Cell and atoms, written as Quantum ESPRESSO input:
```
&SYSTEM
  ibrav = 0, nat = 4, ntyp = 3
/
ATOMIC_SPECIES
Cr 52.00 Cr.upf
Mo 95.94 Mo.upf
Ir 192.22 Ir.upf
CELL_PARAMETERS angstrom
2.7178 0.0000 0.0000
0.0000 4.3484 0.0000
-0.6184 0.0000 4.9530
ATOMIC_POSITIONS crystal
Cr 0.0000 0.0000 0.0000
Mo 0.3183 0.5000 0.8056
Mo 0.5580 0.0000 0.5109
Ir 0.9573 0.5000 0.2882
```